Here is a geometry-optimized K3VBr8 structure from the Alexandria database. Energies are from PBE.

* uncorrected formation energy: -909 meV per atom

The structure in CIF format:
```
data_K3VBr8
_chemical_formula_sum 'K6 V2 Br16'
_symmetry_space_group_name_H-M 'I 4/m m m'
_symmetry_Int_Tables_number 139
_symmetry_space_group_name_Hall '-I 4 2'
_cell_length_a 7.479
_cell_length_b 7.479
_cell_length_c 14.818
_cell_angle_alpha 90.00
_cell_angle_beta 90.00
_cell_angle_gamma 90.00
loop_
_atom_site_label
_atom_site_fract_x
_atom_site_fract_y
_atom_site_fract_z
_atom_site_occupancy
K1 0.000 0.000 0.000 1
K2 0.000 0.500 0.250 1
V1 0.000 0.000 0.500 1
Br1 0.215 0.215 0.391 1
```